The following is a PBE calculation of a relaxed structure of GdY2In3IrAu2, from the Open Quantum Materials Database.

Cell lengths 3.9627, 7.7318, 7.7318 Å; angles 120.09, 90.00, 90.00 degrees
Element x y z (fractional)
Gd 0.0000 0.0000 0.0000
Y 0.0000 0.3976 0.7944
Y 0.0000 0.7944 0.3976
In 0.5000 0.1435 0.3985
In 0.5000 0.3985 0.1435
In 0.5000 0.6515 0.6515
Ir 0.0000 0.3972 0.3972
Au 0.5000 0.0644 0.7303
Au 0.5000 0.7303 0.0644

Summary:
Final energy in eV/atom: -5.319
Crystal system: orthorhombic